Here is CaGa4Au12 after structural relaxation from Alexandria via LeMat-Bulk. Energies are from GGA-PBE.

Size of the total moment = 0.000 μB per atom
Energy relative to the elements = -0.07 eV per atom

Cell: 8.9991 8.9991 8.9991 Å, 90.00 90.00 90.00°
With the nearest neighbours (Å) after each atom.
Space group Im-3 (No. 204)
Symmetry-distinct sites (fractional):
Ca 0.0000 0.0000 0.0000 x2  12 Au 3.40
Ga 0.2500 0.2500 0.2500 x8  6 Au 2.55
Au 0.0000 0.3441 0.1548 x24  2 Ga 2.55, 2 Au 2.79-2.81

***

Here is CaHgPb2 after structural relaxation from Alexandria via LeMat-Bulk. Energies are from GGA-PBE.

Size of the total moment = 0.000 μB per atom
Energy relative to the elements = -0.34 eV per atom

Cell: 5.0954 5.0954 17.6866 Å, 90.00 90.00 90.00°
With the nearest neighbours (Å) after each atom.
Space group I4/mmm (No. 139)
Symmetry-distinct sites (fractional):
Ca 0.0000 0.0000 0.1345 x4  4 Hg 3.27, 8 Pb 3.49-3.60
Hg 0.0000 0.5000 0.2500 x4  4 Ca 3.27, 4 Pb 3.28, 4 Hg 3.60
Pb 0.0000 0.0000 0.3665 x4  4 Hg 3.28, 4 Pb 3.47, 4 Ca 3.60
Pb 0.0000 0.5000 0.0000 x4  8 Pb 3.47-3.60, 4 Ca 3.49

***

Here is HfOs2I2 after structural relaxation from Alexandria via LeMat-Bulk. Energies are from GGA-PBE.

Size of the total moment = 0.000 μB per atom
ΔE_f (raw) = 1.463 eV/atom
Energy relative to the lowest polymorph listed for this composition = 177 meV/atom

Cell: 4.1815 4.1815 12.4219 Å, 90.00 90.00 90.00°
With the nearest neighbours (Å) after each atom.
Space group I4/mmm (No. 139)
Symmetry-distinct sites (fractional):
Hf 0.0000 0.0000 0.0000 x2  8 I 3.33
Os 0.0000 0.5000 0.2500 x4  4 I 2.61
I 0.0000 0.0000 0.3759 x4  4 Os 2.61

***

Here is Mn6V12Si after structural relaxation from Alexandria via LeMat-Bulk. Energies are from GGA-PBE.

Size of the total moment = 0.000 μB per atom
ΔE_f (raw) = 0.079 eV/atom

Cell: 10.9820 10.9820 7.1032 Å, 90.00 90.00 120.00°
With the nearest neighbours (Å) after each atom.
Space group R-3 (No. 148, hexagonal axes)
Symmetry-distinct sites (fractional):
Mn 0.0320 0.7719 0.0554 x18  3 V 2.18-2.37
V 0.0435 0.8820 0.7914 x18  2 Mn 2.20-2.37
V 0.0639 0.8070 0.4444 x18  1 Mn 2.18
Si 0.0000 0.0000 0.5000 x3  12 V 2.57-2.61

***

Here is NbSCl after structural relaxation from Alexandria via LeMat-Bulk. Energies are from GGA-PBE.

Size of the total moment = 0.000 μB per atom
ΔE_f (raw) = -0.898 eV/atom

Cell: 5.1926 5.0209 10.3881 Å, 90.00 93.04 90.00°
With the nearest neighbours (Å) after each atom.
Space group C2/m (No. 12)
Symmetry-distinct sites (fractional):
Nb 0.1923 0.0000 0.1140 x4  1 Cl 2.35, 4 S 2.51-2.54
S 0.2093 0.5000 0.1233 x4  5 Nb 2.51-2.68
Cl 0.2316 0.0000 0.3407 x4  1 Nb 2.35

***

Here is Zr2CuAs after structural relaxation from Alexandria via LeMat-Bulk. Energies are from GGA-PBE.

Size of the total moment = 0.000 μB per atom
Energy relative to the elements = -0.52 eV per atom

Cell: 3.4901 3.4901 6.0034 Å, 90.00 90.00 90.00°
With the nearest neighbours (Å) after each atom.
Space group P4/mmm (No. 123)
Symmetry-distinct sites (fractional):
Zr 0.0000 0.0000 0.2494 x2  4 As 2.89, 4 Cu 2.89, 2 Zr 3.00-3.01
Cu 0.5000 0.5000 0.5000 x1  8 Zr 2.89, 2 As 3.00
As 0.5000 0.5000 0.0000 x1  8 Zr 2.89, 2 Cu 3.00

***

Here is In2Sn2S5 after structural relaxation from Alexandria via LeMat-Bulk. Energies are from GGA-PBE.

Size of the total moment = 0.000 μB per atom
ΔE_f (raw) = -0.446 eV/atom
Energy relative to the lowest polymorph listed for this composition = 0 meV/atom

Cell: 18.3442 4.0702 6.5788 Å, 90.00 95.42 90.00°
With the nearest neighbours (Å) after each atom.
Space group C2/m (No. 12)
Symmetry-distinct sites (fractional):
In 0.1313 0.0000 0.3893 x4  4 S 2.43-2.58
Sn 0.0629 0.5000 0.8342 x4  3 S 2.71-2.73
S 0.0000 0.0000 0.5000 x2  2 In 2.58
S 0.1418 0.0000 0.0239 x4  1 In 2.43
S 0.1742 0.5000 0.5918 x4  2 In 2.52, 1 Sn 2.71

***

Here is TbScCuAg after structural relaxation from Alexandria via LeMat-Bulk. Energies are from GGA-PBE.

Size of the total moment = 0.000 μB per atom
Energy relative to the elements = -0.23 eV per atom
Energy relative to the lowest polymorph listed for this composition = 31 meV/atom

Cell: 6.9523 6.9523 6.9523 Å, 90.00 90.00 90.00°
With the nearest neighbours (Å) after each atom.
Space group F-43m (No. 216)
Symmetry-distinct sites (fractional):
Tb 0.0000 0.0000 0.0000 x4  4 Cu 3.01, 4 Ag 3.01
Sc 0.0000 0.0000 0.5000 x4  4 Cu 3.01, 4 Ag 3.01
Cu 0.2500 0.2500 0.7500 x4  4 Tb 3.01, 4 Sc 3.01
Ag 0.2500 0.2500 0.2500 x4  4 Tb 3.01, 4 Sc 3.01

***

Here is Pb4Br after structural relaxation from Alexandria via LeMat-Bulk. Energies are from GGA-PBE.

Size of the total moment = 0.000 μB per atom
ΔE_f (raw) = 0.342 eV/atom
Energy relative to the lowest polymorph listed for this composition = 447 meV/atom

Cell: 5.7638 5.7638 5.7638 Å, 90.00 90.00 90.00°
With the nearest neighbours (Å) after each atom.
Space group Pm-3m (No. 221)
Symmetry-distinct sites (fractional):
Pb 0.0000 0.0000 0.0000 x1  12 Pb 4.08
Pb 0.0000 0.5000 0.5000 x3  2 Br 2.88
Br 0.5000 0.5000 0.5000 x1  6 Pb 2.88

***

Here is HfReHg2C after structural relaxation from Alexandria via LeMat-Bulk. Energies are from GGA-PBE.

Size of the total moment = 0.039 μB per atom
Energy relative to the elements = 2.59 eV per atom

Cell: 5.6002 5.6002 4.9496 Å, 90.00 90.00 90.00°
With the nearest neighbours (Å) after each atom.
Space group P4/mmm (No. 123)
Symmetry-distinct sites (fractional):
Hf 0.0000 0.0000 0.0000 x1  2 Re 2.47
Re 0.0000 0.0000 0.5000 x1  2 Hf 2.47
Hg 0.0000 0.5000 0.0000 x2  2 Hf 2.80
C 0.5000 0.5000 0.5000 x1  8 Hg 3.74, 4 Re 3.96

***

Here is SmHoSb after structural relaxation from Alexandria via LeMat-Bulk. Energies are from GGA-PBE.

Size of the total moment = 0.000 μB per atom
ΔE_f (raw) = -0.447 eV/atom

Cell: 4.0033 21.1102 4.5889 Å, 90.00 90.00 90.00°
With the nearest neighbours (Å) after each atom.
Space group Cmcm (No. 63)
Symmetry-distinct sites (fractional):
Sm 0.0000 0.2041 0.2500 x4  1 Sb 3.05
Ho 0.0000 0.4271 0.2500 x4  4 Sb 3.06
Sb 0.0000 0.0597 0.2500 x4  1 Sm 3.05, 4 Ho 3.06, 2 Sb 3.41

***

Here is Ce6Tl5Hg after structural relaxation from Alexandria via LeMat-Bulk. Energies are from GGA-PBE.

Size of the total moment = 0.614 μB per atom
Energy relative to the elements = -0.25 eV per atom
Energy relative to the lowest polymorph listed for this composition = 0 meV/atom

Cell: 4.8974 14.6820 9.3564 Å, 90.00 90.00 90.00°
With the nearest neighbours (Å) after each atom.
Space group Cmmm (No. 65)
Symmetry-distinct sites (fractional):
Ce 0.0000 0.0000 0.2468 x4  2 Hg 3.37, 6 Tl 3.37-3.41, 4 Ce 3.44
Ce 0.0000 0.3354 0.2485 x8  1 Hg 3.35, 7 Tl 3.37-3.41, 4 Ce 3.44-3.50
Tl 0.0000 0.1673 0.0000 x4  8 Ce 3.37-3.39, 2 Tl 3.45, 2 Hg 3.47
Tl 0.0000 0.1671 0.5000 x4  8 Ce 3.40-3.41, 4 Tl 3.45-3.47
Tl 0.0000 0.5000 0.5000 x2  8 Ce 3.37-3.41, 4 Tl 3.47
Hg 0.0000 0.5000 0.0000 x2  8 Ce 3.35-3.37, 4 Tl 3.47

***

Copy entry 12 word for word.
Here is Ce6Tl5Hg after structural relaxation from Alexandria via LeMat-Bulk. Energies are from GGA-PBE.

Size of the total moment = 0.614 μB per atom
Energy relative to the elements = -0.25 eV per atom
Energy relative to the lowest polymorph listed for this composition = 0 meV/atom

Cell: 4.8974 14.6820 9.3564 Å, 90.00 90.00 90.00°
With the nearest neighbours (Å) after each atom.
Space group Cmmm (No. 65)
Symmetry-distinct sites (fractional):
Ce 0.0000 0.0000 0.2468 x4  2 Hg 3.37, 6 Tl 3.37-3.41, 4 Ce 3.44
Ce 0.0000 0.3354 0.2485 x8  1 Hg 3.35, 7 Tl 3.37-3.41, 4 Ce 3.44-3.50
Tl 0.0000 0.1673 0.0000 x4  8 Ce 3.37-3.39, 2 Tl 3.45, 2 Hg 3.47
Tl 0.0000 0.1671 0.5000 x4  8 Ce 3.40-3.41, 4 Tl 3.45-3.47
Tl 0.0000 0.5000 0.5000 x2  8 Ce 3.37-3.41, 4 Tl 3.47
Hg 0.0000 0.5000 0.0000 x2  8 Ce 3.35-3.37, 4 Tl 3.47

***

What is the size of the total moment in the fifth record?
0.000 μB per atom